! ZrPt2Cl (GGA-PBE, optimized geometry); values from VASP
! Energy above the lowest structure with this stoichiometry (eV per atom): 0.109
&SYSTEM
  ibrav = 0, nat = 4, ntyp = 3
/
ATOMIC_SPECIES
Cl 35.45 Cl.upf
Zr 91.22 Zr.upf
Pt 195.08 Pt.upf
CELL_PARAMETERS angstrom
7.4655 0.0604 0.0048
5.5614 4.9807 -0.0048
-6.2075 -3.3112 2.4980
ATOMIC_POSITIONS angstrom
Cl 3.9556 2.4905 1.2466
Zr 6.2063 2.4017 0.0000
Pt 2.6155 -0.8566 1.2514
Pt 0.5555 0.2149 0.0000

=====

! DyHoZnFe (GGA-PBE, optimized geometry); values from VASP
! ΔH_f (0 K) (eV/f.u.): -0.3
&SYSTEM
  ibrav = 0, nat = 4, ntyp = 4
/
ATOMIC_SPECIES
Fe 55.84 Fe.upf
Ho 164.93 Ho.upf
Dy 162.50 Dy.upf
Zn 65.41 Zn.upf
CELL_PARAMETERS angstrom
4.8860 0.0000 0.0000
2.4430 4.2314 0.0000
2.4430 1.4105 3.9894
ATOMIC_POSITIONS angstrom
Fe 7.3289 4.2314 2.9920
Ho 4.8860 2.8209 1.9947
Dy 0.0000 0.0000 0.0000
Zn 2.4430 1.4105 0.9973

=====

! InHPd3 (GGA-PBE, optimized geometry); values from VASP
! Energy above the lowest structure with this stoichiometry (eV per atom): 0.459
&SYSTEM
  ibrav = 0, nat = 10, ntyp = 3
/
ATOMIC_SPECIES
Pd 106.42 Pd.upf
H 1.01 H.upf
In 114.82 In.upf
CELL_PARAMETERS angstrom
2.7662 -6.7510 0.0000
2.7662 6.7510 0.0000
0.0000 0.0000 5.0849
ATOMIC_POSITIONS angstrom
Pd 4.1846 2.0752 1.2712
Pd 1.3477 -2.0752 3.8136
Pd 4.1846 -2.0752 3.8136
Pd 1.3477 2.0752 1.2712
Pd 0.0000 0.0000 0.0000
Pd 0.0000 0.0000 2.5424
H 2.7662 1.1288 1.2712
H 2.7662 -1.1288 3.8136
In 2.7662 4.3521 1.2712
In 2.7662 -4.3521 3.8136

=====

! Mg3Tl2 (GGA-PBE, optimized geometry); values from VASP
! Energy above the lowest structure with this stoichiometry (eV per atom): 0.063
! ΔH_f (0 K) (eV/f.u.): 0.2
&SYSTEM
  ibrav = 0, nat = 5, ntyp = 2
/
ATOMIC_SPECIES
Mg 24.30 Mg.upf
Tl 204.38 Tl.upf
CELL_PARAMETERS angstrom
4.8994 0.0000 0.0000
-2.4497 4.2430 0.0000
0.0000 0.0000 6.3850
ATOMIC_POSITIONS angstrom
Mg 2.4497 1.4143 4.2253
Mg 0.0000 0.0000 0.0000
Mg 0.0000 2.8287 2.1597
Tl 0.0000 2.8287 5.1621
Tl 2.4497 1.4143 1.2229

=====

! Li2CuNi (GGA-PBE, optimized geometry); values from VASP
! Energy above the lowest structure with this stoichiometry (eV per atom): 0.045
! ΔH_f (0 K) (eV/f.u.): 0.1
&SYSTEM
  ibrav = 0, nat = 4, ntyp = 3
/
ATOMIC_SPECIES
Ni 58.69 Ni.upf
Li 6.94 Li.upf
Cu 63.55 Cu.upf
CELL_PARAMETERS angstrom
-3.8074 -0.8719 -3.0878
0.9129 -1.7366 -4.5763
0.2890 -0.6360 4.9298
ATOMIC_POSITIONS angstrom
Ni -1.4314 -1.2900 -3.7900
Li -0.0170 -0.0153 -0.0450
Li -2.4619 -1.3872 -0.9396
Cu -0.1424 -1.8563 -1.7916

=====

! LiMgUF6 (GGA-PBE, optimized geometry); values from VASP
! Uncorrected energy (eV per atom): -6.099
&SYSTEM
  ibrav = 0, nat = 18, ntyp = 4
/
ATOMIC_SPECIES
U 238.03 U.upf
F 19.00 F.upf
Li 6.94 Li.upf
Mg 24.30 Mg.upf
CELL_PARAMETERS angstrom
5.7071 0.0000 0.0000
-2.8536 4.9425 0.0000
0.0000 0.0000 8.6941
ATOMIC_POSITIONS angstrom
U 2.8536 1.6475 6.5206
U 0.0000 3.2950 2.1735
F -1.7017 3.3837 7.6031
F -0.7740 1.7770 5.4381
F 1.7017 3.3837 5.4381
F 1.9259 0.2182 1.0910
F 0.7740 1.7770 7.6031
F 4.5552 1.5588 1.0910
F 2.0795 3.1655 1.0910
F 3.7812 0.2182 3.2560
F 0.9276 4.7243 7.6031
F 1.1519 1.5588 3.2560
F 3.6276 3.1655 3.2560
F -0.9276 4.7243 5.4381
Li 0.0000 0.0000 0.0000
Li 0.0000 0.0000 4.3470
Mg 0.0000 3.2950 6.5206
Mg 2.8536 1.6475 2.1735

=====

! Nd4Ni2H (GGA-PBE, optimized geometry); values from VASP
! Energy above the lowest structure with this stoichiometry (eV per atom): 0.000
&SYSTEM
  ibrav = 0, nat = 7, ntyp = 3
/
ATOMIC_SPECIES
Nd 144.24 Nd.upf
Ni 58.69 Ni.upf
H 1.01 H.upf
CELL_PARAMETERS angstrom
-1.9140 2.3392 2.5770
1.6352 -3.6032 4.4851
6.2870 3.2504 -1.3420
ATOMIC_POSITIONS angstrom
Nd 5.6400 1.0898 3.1995
Nd 3.0393 3.5468 2.0988
Nd 2.9689 -1.5603 3.6213
Nd 0.3682 0.8966 2.5205
Ni 2.9153 1.2461 4.0950
Ni 3.0929 0.7403 1.6251
H 0.0000 0.0000 0.0000

=====

! InAg2SbS4 (GGA-PBE, optimized geometry); values from VASP
! Uncorrected energy (eV per atom): -3.883
&SYSTEM
  ibrav = 0, nat = 16, ntyp = 4
/
ATOMIC_SPECIES
S 32.06 S.upf
Sb 121.76 Sb.upf
In 114.82 In.upf
Ag 107.87 Ag.upf
CELL_PARAMETERS angstrom
6.4192 0.0000 0.0000
0.0000 6.7342 0.0000
0.0000 0.0000 9.3788
ATOMIC_POSITIONS angstrom
S 2.3428 1.3509 4.6894
S 2.5277 4.6485 2.5571
S 2.5239 1.0029 0.0000
S 5.5524 5.3833 0.0000
S 5.7335 5.7313 4.6894
S 2.5277 4.6485 6.8217
S 5.7373 2.0857 2.1323
S 5.7373 2.0857 7.2464
Sb 6.2323 1.4662 4.6894
Sb 3.0227 5.2680 0.0000
In 3.1733 5.7007 4.6894
In 6.3829 1.0335 0.0000
Ag 6.3839 4.6030 6.9959
Ag 3.1743 2.1312 7.0722
Ag 3.1743 2.1312 2.3065
Ag 6.3839 4.6030 2.3828

=====

| no. | calculated volume (Å³/f.u.) | density (g/cm3) |
| --- | --- | --- |
| 1 | 92 | 9.33 |
| 2 | 82 | 9.03 |
| 3 | 95 | 7.61 |
| 4 | 133 | 6.03 |
| 5 | 49 | 4.61 |
| 6 | 123 | 5.19 |
| 7 | 162 | 7.14 |
| 8 | 203 | 4.76 |